# 1
First-principles (GGA-PBE) data for AlTlZn3 after structural relaxation, as listed in Alexandria.

Cell and atoms, written as POSCAR:
```
AlTlZn3
1.0
4.9545 0.0000 0.0000
0.0000 4.9545 0.0000
0.0000 0.0000 4.9545
Al Tl Zn
1 1 3
Direct
0.0000 0.0000 0.0000
0.5000 0.5000 0.5000
0.0000 0.0000 0.5000
0.0000 0.5000 0.0000
0.5000 0.0000 0.0000
```

Summary:
**Distance to the lowest polymorph of the same formula**: 0.0 meV per atom
**ΔH_f (0 K)**: 0.333 eV/atom
**N(E_F)**: 2.9 states/eV per cell

=====

# 2
First-principles (GGA-PBE) data for AlTlZn2 after structural relaxation, as listed in Alexandria.

Cell and atoms, written as POSCAR:
```
AlTlZn2
1.0
-2.1697 2.1697 4.1831
2.1697 -2.1697 4.1831
2.1697 2.1697 -4.1831
Al Tl Zn
1 1 2
Direct
0.0000 0.0000 0.0000
0.5000 0.5000 0.0000
0.2500 0.7500 0.5000
0.7500 0.2500 0.5000
```

Summary:
**Distance to the lowest polymorph of the same formula**: 80.0 meV per atom
**ΔH_f (0 K)**: 0.246 eV/atom
**N(E_F)**: 1.3 states/eV per cell

=====

# 3
First-principles (GGA-PBE) data for Al2TlZn after structural relaxation, as listed in Alexandria.

Cell and atoms, written as POSCAR:
```
Al2TlZn
1.0
0.0000 3.4581 3.4581
3.4581 0.0000 3.4581
3.4581 3.4581 0.0000
Al Tl Zn
2 1 1
Direct
0.0000 0.0000 0.0000
0.2500 0.2500 0.2500
0.5000 0.5000 0.5000
0.7500 0.7500 0.7500
```

Summary:
**Distance to the lowest polymorph of the same formula**: 147.6 meV per atom
**ΔH_f (0 K)**: 0.327 eV/atom
**N(E_F)**: 3.5 states/eV per cell

=====

# 4
First-principles (GGA-PBE) data for Al4TlZn after structural relaxation, as listed in Alexandria.

Cell and atoms, written as POSCAR:
```
Al4TlZn
1.0
0.0000 3.9127 3.9127
3.9127 0.0000 3.9127
3.9127 3.9127 0.0000
Al Tl Zn
4 1 1
Direct
0.3755 0.3755 0.3755
0.3755 0.3755 0.8734
0.3755 0.8734 0.3755
0.8734 0.3755 0.3755
0.0000 0.0000 0.0000
0.7500 0.7500 0.7500
```

Summary:
**ΔH_f (0 K)**: 0.233 eV/atom
**N(E_F)**: 1.4 states/eV per cell